First-principles (PBE) data for a relaxed TmGa12Ni6 crystal, as listed in the Alexandria database.

Density ... 7.68 g cm⁻³
Energy of formation from the pure elements ... -305 meV/atom
Total magnetization ... 0.000 μB per formula unit
SG ... R-3m
E_tot ... -4.2777 eV per atom

a b c (Å): 6.924 6.924 6.924
angles (deg): 104.48 104.48 104.48
Element x y z (fractional)
Tm: 0.000 0.000 0.000
Ga: 0.115 0.500 0.885
Ga: 0.115 0.885 0.500
Ga: 0.147 0.402 0.402
Ga: 0.402 0.147 0.402
Ga: 0.402 0.402 0.147
Ga: 0.500 0.115 0.885
Ga: 0.500 0.885 0.115
Ga: 0.598 0.598 0.853
Ga: 0.598 0.853 0.598
Ga: 0.853 0.598 0.598
Ga: 0.885 0.115 0.500
Ga: 0.885 0.500 0.115
Ni: 0.284 0.284 0.709
Ni: 0.284 0.709 0.284
Ni: 0.291 0.716 0.716
Ni: 0.709 0.284 0.284
Ni: 0.716 0.291 0.716
Ni: 0.716 0.716 0.291

=====

First-principles (PBE) data for a relaxed Tm3Ga3Ni2 crystal, as listed in the Alexandria database.

Density ... 9.08 g cm⁻³
Energy of formation from the pure elements ... -614 meV/atom
Total magnetization ... 0.000 μB per formula unit
SG ... Pnma
E_tot ... -4.8708 eV per atom

a b c (Å): 7.808 14.419 5.414
angles (deg): 90.00 90.00 90.00
Element x y z (fractional)
Tm: 0.041 0.110 0.121
Tm: 0.041 0.390 0.121
Tm: 0.185 0.250 0.629
Tm: 0.315 0.750 0.129
Tm: 0.459 0.610 0.621
Tm: 0.459 0.890 0.621
Tm: 0.541 0.110 0.379
Tm: 0.541 0.390 0.379
Tm: 0.685 0.250 0.871
Tm: 0.815 0.750 0.371
Tm: 0.959 0.610 0.879
Tm: 0.959 0.890 0.879
Ga: 0.164 0.750 0.618
Ga: 0.187 0.038 0.615
Ga: 0.187 0.462 0.615
Ga: 0.313 0.538 0.115
Ga: 0.313 0.962 0.115
Ga: 0.336 0.250 0.118
Ga: 0.664 0.750 0.882
Ga: 0.687 0.038 0.885
Ga: 0.687 0.462 0.885
Ga: 0.813 0.538 0.385
Ga: 0.813 0.962 0.385
Ga: 0.836 0.250 0.382
Ni: 0.096 0.606 0.377
Ni: 0.096 0.894 0.377
Ni: 0.404 0.106 0.877
Ni: 0.404 0.394 0.877
Ni: 0.596 0.606 0.123
Ni: 0.596 0.894 0.123
Ni: 0.904 0.106 0.623
Ni: 0.904 0.394 0.623